Entry 1:
This record from Alexandria via LeMat-Bulk describes a relaxed Nb2Sn2O7 crystal. The functional is PBE-GGA. Values from VASP.

Calculated values
* formation energy (no corrections): -2142 kJ/mol of formula units
* E above lowest polymorph: 0.024 eV per atom
* size of the total moment: 0.0 μB/cell

```
&SYSTEM
  ibrav = 0, nat = 22, ntyp = 3
/
ATOMIC_SPECIES
Nb 92.91 Nb.upf
Sn 118.71 Sn.upf
O 16.00 O.upf
ATOMIC_POSITIONS crystal
Nb 0.000 0.000 0.000
Nb 0.000 0.000 0.500
Nb 0.000 0.500 0.000
Nb 0.500 0.000 0.000
Sn 0.000 0.500 0.500
Sn 0.500 0.000 0.500
Sn 0.500 0.500 0.000
Sn 0.500 0.500 0.500
O 0.064 0.064 0.686
O 0.064 0.686 0.064
O 0.064 0.686 0.686
O 0.314 0.314 0.936
O 0.314 0.936 0.314
O 0.314 0.936 0.936
O 0.375 0.375 0.375
O 0.625 0.625 0.625
O 0.686 0.064 0.064
O 0.686 0.064 0.686
O 0.686 0.686 0.064
O 0.936 0.314 0.314
O 0.936 0.314 0.936
O 0.936 0.936 0.314
CELL_PARAMETERS angstrom
0.000 5.377 5.377
5.377 0.000 5.377
5.377 5.377 0.000
```

---

Entry 2:
This record from Alexandria via LeMat-Bulk describes a relaxed ReOs2Pt crystal. The functional is PBE-GGA. Values from VASP.

Calculated values
* energy of formation: 59 meV per atom
* E above lowest polymorph: 0.000 eV per atom
* Fermi-level density of states: 3.401 states/eV per cell
* size of the total moment: 0.0 μB/cell

```
&SYSTEM
  ibrav = 0, nat = 4, ntyp = 3
/
ATOMIC_SPECIES
Re 186.21 Re.upf
Os 190.23 Os.upf
Pt 195.08 Pt.upf
ATOMIC_POSITIONS crystal
Re 0.000 0.000 0.000
Os 0.000 0.000 0.479
Os 0.500 0.500 0.245
Pt 0.500 0.500 0.743
CELL_PARAMETERS angstrom
2.733 0.000 0.000
0.000 3.929 0.000
0.000 0.000 5.487
```

---

Entry 3:
This record from Alexandria via LeMat-Bulk describes a relaxed ScSn2W crystal. The functional is PBE-GGA. Values from VASP.

Calculated values
* energy of formation: 399 meV per atom
* E above lowest polymorph: 0.268 eV per atom
* Fermi-level density of states: 8.782 states/eV per cell
* size of the total moment: 0.8 μB/cell

```
&SYSTEM
  ibrav = 0, nat = 8, ntyp = 3
/
ATOMIC_SPECIES
Sc 44.96 Sc.upf
Sn 118.71 Sn.upf
W 183.84 W.upf
ATOMIC_POSITIONS crystal
Sc 0.000 0.000 0.000
Sc 0.750 0.250 0.500
Sn 0.145 0.125 0.520
Sn 0.375 0.855 0.980
Sn 0.605 0.625 0.480
Sn 0.875 0.395 0.020
W 0.250 0.750 0.500
W 0.500 0.500 0.000
CELL_PARAMETERS angstrom
-3.872 3.872 3.021
3.872 -3.872 3.021
3.872 3.872 -3.021
```

---

Entry 4:
This record from Alexandria via LeMat-Bulk describes a relaxed SrGe3P crystal. The functional is PBE-GGA. Values from VASP.

Calculated values
* energy of formation: 1623 meV per atom
* E above lowest polymorph: 1.487 eV per atom
* Fermi-level density of states: 5.858 states/eV per cell
* size of the total moment: 0.0 μB/cell

```
&SYSTEM
  ibrav = 0, nat = 5, ntyp = 3
/
ATOMIC_SPECIES
Sr 87.62 Sr.upf
Ge 72.64 Ge.upf
P 30.97 P.upf
ATOMIC_POSITIONS crystal
Sr 0.000 0.000 0.000
Ge 0.000 0.000 0.500
Ge 0.000 0.500 0.000
Ge 0.500 0.000 0.000
P 0.500 0.500 0.500
CELL_PARAMETERS angstrom
5.570 0.000 0.000
0.000 5.570 0.000
0.000 0.000 5.570
```